# Fe2IrClO

A geometry-optimized Fe2IrClO structure (GGA+U, Alexandria via LeMat-Bulk).

Properties
**Raw total energy**: -19.96 eV per cell
**V**: 18.3 Å³/atom
**DOS(E_F)**: 1.23 states/eV/cell

Cell and atoms, written as POSCAR:
```
Fe2IrClO
1.0
4.6096 0.0000 0.0000
0.0000 4.6096 0.0000
0.0000 0.0000 4.3023
Fe Ir Cl O
2 1 1 1
Cartesian
0.0000 2.3048 0.0000
2.3048 0.0000 0.0000
0.0000 0.0000 2.1512
0.0000 0.0000 0.0000
2.3048 2.3048 2.1512
```